PrNdSc2 | PBE | relaxed

```
data_PrNdSc2
_chemical_formula_sum 'Pr4 Nd4 Sc8'
_symmetry_space_group_name_H-M 'F m -3 m'
_symmetry_Int_Tables_number 225
_symmetry_space_group_name_Hall '-F 4 2 3'
_cell_length_a 7.813
_cell_length_b 7.813
_cell_length_c 7.813
_cell_angle_alpha 90.00
_cell_angle_beta 90.00
_cell_angle_gamma 90.00
loop_
_atom_site_label
_atom_site_fract_x
_atom_site_fract_y
_atom_site_fract_z
_atom_site_occupancy
Pr1 0.000 0.000 0.000 1
Nd1 0.000 0.000 0.500 1
Sc1 0.250 0.250 0.250 1
```

Output
* ΔE to the lowest computed polymorph: 0.026 eV per atom



Pm3Nd2Ir3 | PBE | relaxed

```
data_Pm3Nd2Ir3
_chemical_formula_sum 'Pm12 Nd8 Ir12'
_symmetry_space_group_name_H-M 'C 1 m 1'
_symmetry_Int_Tables_number 8
_cell_length_a 12.976
_cell_length_b 5.710
_cell_length_c 13.915
_cell_angle_alpha 90.00
_cell_angle_beta 90.30
_cell_angle_gamma 90.00
loop_
_symmetry_equiv_pos_as_xyz
'x,y,z'
'x,-y,z'
'x+1/2,y+1/2,z'
'x+1/2,-y+1/2,z'
loop_
_atom_site_label
_atom_site_fract_x
_atom_site_fract_y
_atom_site_fract_z
_atom_site_occupancy
Pm1 0.000 0.000 0.000 1
Pm2 0.001 0.000 0.266 1
Pm3 0.116 0.500 0.449 1
Pm4 0.193 0.500 0.134 1
Pm5 0.198 0.000 0.634 1
Pm6 0.390 0.500 0.767 1
Nd1 0.113 0.500 0.815 1
Nd2 0.277 0.000 0.951 1
Nd3 0.279 0.000 0.316 1
Nd4 0.394 0.500 0.501 1
Ir1 0.097 0.000 0.821 1
Ir2 0.101 0.000 0.444 1
Ir3 0.162 0.000 0.133 1
Ir4 0.228 0.500 0.633 1
Ir5 0.292 0.500 0.945 1
Ir6 0.294 0.500 0.322 1
```

Output
* calculated total energy: -6.77 eV per atom



Al2TlSe | PBE | relaxed

```
data_Al2TlSe
_chemical_formula_sum 'Al4 Tl2 Se2'
_symmetry_space_group_name_H-M 'C m m m'
_symmetry_Int_Tables_number 65
_symmetry_space_group_name_Hall '-C 2 2'
_cell_length_a 3.994
_cell_length_b 5.830
_cell_length_c 7.965
_cell_angle_alpha 90.00
_cell_angle_beta 90.00
_cell_angle_gamma 90.00
loop_
_atom_site_label
_atom_site_fract_x
_atom_site_fract_y
_atom_site_fract_z
_atom_site_occupancy
Al1 0.000 0.000 0.218 1
Tl1 0.000 0.500 0.500 1
Se1 0.000 0.500 0.000 1
```

Output
* uncorrected formation energy: 0.086 eV/atom
* ΔE to the lowest computed polymorph: 0.208 eV per atom



KTiAl | PBE | relaxed

```
data_KTiAl
_chemical_formula_sum 'K1 Ti1 Al1'
_symmetry_space_group_name_H-M 'P -6 m 2'
_symmetry_Int_Tables_number 187
_symmetry_space_group_name_Hall 'P -6 2'
_cell_length_a 4.6160
_cell_length_b 4.6160
_cell_length_c 5.4073
_cell_angle_alpha 90.00
_cell_angle_beta 90.00
_cell_angle_gamma 120.00
loop_
_atom_site_label
_atom_site_fract_x
_atom_site_fract_y
_atom_site_fract_z
_atom_site_occupancy
K1 0.0000 0.0000 0.0000 1
Ti1 0.6667 0.3333 0.5000 1
Al1 0.3333 0.6667 0.5000 1
```

Output
* ΔE to the lowest computed polymorph: 0.857 eV per atom



Pm3PPbO | PBE | relaxed

```
data_Pm3PPbO
_chemical_formula_sum 'Pm6 P2 Pb2 O2'
_symmetry_space_group_name_H-M 'P 1 21/m 1'
_symmetry_Int_Tables_number 11
_cell_length_a 9.033
_cell_length_b 4.116
_cell_length_c 9.238
_cell_angle_alpha 90.00
_cell_angle_beta 103.89
_cell_angle_gamma 90.00
loop_
_symmetry_equiv_pos_as_xyz
'x,y,z'
'-x,-y,-z'
'-x,y+1/2,-z'
'x,-y+1/2,z'
loop_
_atom_site_label
_atom_site_fract_x
_atom_site_fract_y
_atom_site_fract_z
_atom_site_occupancy
Pm1 0.065 0.250 0.340 1
Pm2 0.333 0.250 0.977 1
Pm3 0.382 0.750 0.648 1
P1 0.157 0.250 0.658 1
Pb1 0.316 0.750 0.272 1
O1 0.412 0.750 0.905 1
```

Output
* uncorrected formation energy: -1.644 eV/atom



BeCu2Tc | PBE | relaxed

```
data_BeCu2Tc
_chemical_formula_sum 'Be4 Cu8 Tc4'
_symmetry_space_group_name_H-M 'I -4 2 d'
_symmetry_Int_Tables_number 122
_symmetry_space_group_name_Hall 'I -4 2bw'
_cell_length_a 3.343
_cell_length_b 3.343
_cell_length_c 17.781
_cell_angle_alpha 90.00
_cell_angle_beta 90.00
_cell_angle_gamma 90.00
loop_
_atom_site_label
_atom_site_fract_x
_atom_site_fract_y
_atom_site_fract_z
_atom_site_occupancy
Be1 0.000 0.000 0.000 1
Cu1 0.241 0.250 0.125 1
Tc1 0.000 0.000 0.500 1
```

Output
* calculated total energy: -5.15 eV per atom